1.
Sr2LiSb2 | the Alexandria database | PBE-GGA | relaxed; ΔE to the lowest computed polymorph = 0.0 meV per atom
1.0
-2.1495 4.1589 4.8558
-6.6157 -1.4555 -1.6820
4.3931 -6.5783 2.8943
Sr Li Sb
4 2 4
Direct
0.8607 0.6534 0.7213
0.1393 0.3466 0.2787
0.6393 0.9321 0.2787
0.3607 0.0679 0.7213
0.7500 0.5000 0.0000
0.2500 0.5000 0.0000
0.3858 0.6086 0.7715
0.6142 0.3914 0.2285
0.1142 0.8371 0.2285
0.8858 0.1629 0.7715

=====

2.
Sr2Li2Sb | the Alexandria database | PBE-GGA | relaxed; ΔE to the lowest computed polymorph = 0.0 meV per atom
1.0
7.6570 0.0000 0.0000
0.0000 7.6570 0.0000
0.0000 0.0000 5.0567
Sb Li Sr
2 4 4
Direct
0.0000 0.0000 0.0000
0.5000 0.5000 0.0000
0.3721 0.8721 0.0000
0.8721 0.6279 0.0000
0.6279 0.1279 0.0000
0.1279 0.3721 0.0000
0.1905 0.6905 0.5000
0.6905 0.8095 0.5000
0.8095 0.3095 0.5000
0.3095 0.1905 0.5000

=====

3.
Sr2LiSb2 | the Alexandria database | PBE-GGA | relaxed; ΔE to the lowest computed polymorph = 82.8 meV per atom
1.0
-3.3541 -3.9239 6.2211
-5.6348 -3.0238 -4.9452
2.8601 -3.8649 -0.8957
Sb Li Sr
4 2 4
Direct
0.3702 0.8702 0.0000
0.8702 0.6298 0.0000
0.6298 0.1298 0.0000
0.1298 0.3702 0.0000
0.0000 0.0000 0.0000
0.5000 0.5000 0.0000
0.1734 0.6734 0.5000
0.6734 0.8266 0.5000
0.8266 0.3266 0.5000
0.3266 0.1734 0.5000

=====

4.
## Sr2LiSb (PBE-GGA)

Data for a relaxed structure of Sr2LiSb.

The structure in POSCAR format:
```
Sr2LiSb
1.0
6.9610 0.0260 -0.0022
3.6639 5.9188 0.0022
-5.0631 -3.4181 3.3374
Li Sb Sr
1 1 2
Direct
0.4330 0.4330 0.0000
0.2877 0.7877 0.5000
0.0273 0.0273 0.0000
0.7520 0.2520 0.5000
```

=====

5.
SrLi3Sb | the Alexandria database | PBE-GGA | relaxed; ΔE to the lowest computed polymorph = 157.5 meV per atom
1.0
5.2514 0.0000 0.0000
0.0000 5.2514 0.0000
0.0000 0.0000 5.2514
Sb Li Sr
1 3 1
Direct
0.0000 0.0000 0.0000
0.0000 0.5000 0.0000
0.0000 0.0000 0.5000
0.5000 0.0000 0.0000
0.5000 0.5000 0.5000

=====

6.
SrLiSb3 | the Alexandria database | PBE-GGA | relaxed; ΔE to the lowest computed polymorph = 789.6 meV per atom
1.0
6.0386 0.0000 0.0000
0.0000 6.0386 0.0000
0.0000 0.0000 6.0386
Sb Li Sr
3 1 1
Direct
0.0000 0.5000 0.0000
0.0000 0.0000 0.5000
0.5000 0.0000 0.0000
0.5000 0.5000 0.5000
0.0000 0.0000 0.0000

=====

7.
## Sr2LiSb (PBE-GGA)

Data for a relaxed structure of Sr2LiSb.

The structure in POSCAR format:
```
Sr2LiSb
1.0
5.4140 0.0000 0.0000
0.0000 5.4140 0.0000
2.7070 2.7070 11.0290
Sb Li Sr
2 2 4
Direct
0.0000 0.0000 0.0000
0.7500 0.2500 0.5000
0.5000 0.5000 0.0000
0.2500 0.7500 0.5000
0.6448 0.1250 0.2500
0.1052 0.6250 0.2500
0.3750 0.3552 0.7500
0.8750 0.8948 0.7500
```

=====

8.
## Sr2LiSb (PBE-GGA)

Data for a relaxed structure of Sr2LiSb.

The structure in POSCAR format:
```
Sr2LiSb
1.0
5.7418 0.0000 0.0000
2.8709 4.9725 0.0000
2.8709 1.6575 4.6882
Li Sb Sr
1 1 2
Direct
0.5000 0.5000 0.5000
0.7500 0.7500 0.7500
0.0000 0.0000 0.0000
0.2500 0.2500 0.2500
```

=====

| no. | calculated volume (Å³/atom) | ΔE_f (raw) (meV/atom) |
| --- | --- | --- |
| 1 | 32.4 | -855 |
| 2 | 29.6 | -389 |
| 3 | 32.0 | -772 |
| 4 | 34.3 | -492 |
| 5 | 29.0 | -281 |
| 6 | 44.0 | 522 |
| 7 | 40.4 | -102 |
| 8 | 33.5 | -223 |